# 1
The following is a DFT calculation (GGA-PBE) of a geometry-optimized GdHgPdPb structure.

Unit cell a=5.0943 b=5.0943 c=5.0943 alpha=60.00 beta=60.00 gamma=60.00
Closest atoms and distances in Å follow each position.
Fractional coordinates of all 4 atoms:
Gd: 0.5000 0.5000 0.5000  4 Pd 3.12, 4 Hg 3.12
Pb: 0.0000 0.0000 0.0000  4 Hg 3.12, 4 Pd 3.12
Pd: 0.2500 0.2500 0.2500  4 Pb 3.12, 4 Gd 3.12
Hg: 0.7500 0.7500 0.7500  4 Gd 3.12, 4 Pb 3.12

Properties
SG ... F-43m
Total energy ... -6.28 eV per atom



# 2
The following is a DFT calculation (GGA-PBE) of a geometry-optimized VPSCl2 structure.

Unit cell a=4.3866 b=4.3866 c=5.1390 alpha=90.00 beta=90.00 gamma=90.00
Closest atoms and distances in Å follow each position.
Fractional coordinates of all 5 atoms:
Cl: 0.0000 0.5000 0.0000  2 V 2.19
V: 0.0000 0.0000 0.0000  4 Cl 2.19
Cl: 0.5000 0.0000 0.0000  2 V 2.19
P: 0.0000 0.0000 0.5000  2 V 2.57
S: 0.5000 0.5000 0.5000  4 P 3.10, 8 Cl 3.38

Properties
Formation energy from raw total energies ... 0.14 eV/atom
SG ... P4/mmm
Polymorph energy (0 for the lowest one) ... 86 meV/atom



# 3
The following is a DFT calculation (GGA-PBE) of a geometry-optimized Mg2ZnCu structure.

Unit cell a=3.8504 b=3.8504 c=10.1281 alpha=90.00 beta=90.00 gamma=90.00
Closest atoms and distances in Å follow each position.
Fractional coordinates of all 8 atoms:
Zn: 0.5000 0.0000 0.2471  4 Cu 2.82
Mg: 0.5000 0.0000 0.9286  1 Cu 2.52
Cu: 0.5000 0.0000 0.6797  5 Mg 2.52-2.65, 4 Zn 2.82
Mg: 0.0000 0.5000 0.0714  1 Cu 2.52
Mg: 0.0000 0.0000 0.5000  4 Cu 2.65, 4 Mg 2.72
Zn: 0.0000 0.5000 0.7529  4 Cu 2.82
Mg: 0.5000 0.5000 0.5000  4 Cu 2.65, 4 Mg 2.72
Cu: 0.0000 0.5000 0.3203  5 Mg 2.52-2.65, 4 Zn 2.82

Properties
SG ... P4/nmm
Total energy ... -2.00 eV per atom



# 4
The following is a DFT calculation (GGA-PBE) of a geometry-optimized LuMgInCo structure.

Unit cell a=4.7338 b=4.7338 c=4.7338 alpha=60.00 beta=60.00 gamma=60.00
Closest atoms and distances in Å follow each position.
Fractional coordinates of all 4 atoms:
Lu: 0.2500 0.2500 0.2500  4 Co 2.90, 4 Mg 2.90
Mg: 0.0000 0.0000 0.0000  4 Lu 2.90, 4 In 2.90
Co: 0.5000 0.5000 0.5000  4 In 2.90, 4 Lu 2.90
In: 0.7500 0.7500 0.7500  4 Co 2.90, 4 Mg 2.90

Properties
SG ... F-43m
Total energy ... -4.06 eV per atom



# 5
The following is a DFT calculation (GGA-PBE) of a geometry-optimized NiHg2Te2 structure.

Unit cell a=6.5808 b=6.5808 c=6.8652 alpha=90.00 beta=90.00 gamma=90.00
Closest atoms and distances in Å follow each position.
Fractional coordinates of all 10 atoms:
Te: 0.6540 0.1540 0.0000  2 Ni 2.49
Hg: 0.3252 0.8252 0.5000  5 Hg 3.25-3.44, 2 Te 3.44
Te: 0.8460 0.6540 0.0000  2 Ni 2.49
Hg: 0.8252 0.6748 0.5000  5 Hg 3.25-3.44, 2 Te 3.44
Ni: 0.5000 0.5000 0.0000  4 Te 2.49
Te: 0.1540 0.3460 0.0000  2 Ni 2.49
Te: 0.3460 0.8460 0.0000  2 Ni 2.49
Ni: 0.0000 0.0000 0.0000  4 Te 2.49
Hg: 0.1748 0.3252 0.5000  5 Hg 3.25-3.44, 2 Te 3.44
Hg: 0.6748 0.1748 0.5000  5 Hg 3.25-3.44, 2 Te 3.44

Properties
Formation energy from raw total energies ... 0.05 eV/atom
SG ... P4/mbm



# 6
The following is a DFT calculation (GGA-PBE) of a geometry-optimized Ca2Cl3O structure.

Unit cell a=3.9139 b=8.2789 c=10.1885 alpha=107.28 beta=98.21 gamma=94.83
Closest atoms and distances in Å follow each position.
Fractional coordinates of all 12 atoms:
Ca: 0.2150 0.0519 0.1698  3 O 2.25-2.46
Ca: 0.7321 0.5836 0.3427  6 Cl 2.67-2.87
O: 0.3537 0.9286 0.9589  1 O 1.52
Ca: 0.7850 0.9481 0.8302  3 O 2.25-2.46
Cl: 0.6743 0.3012 0.4503  3 Ca 2.79-2.87
O: 0.6463 0.0714 0.0411  1 O 1.52
Cl: 0.2606 0.1302 0.7270  3 Ca 2.67-2.90
Cl: 0.7394 0.8698 0.2730  3 Ca 2.67-2.90
Cl: 0.8565 0.5937 0.8219  3 Ca 2.67-2.95
Ca: 0.2679 0.4164 0.6573  6 Cl 2.67-2.87
Cl: 0.3257 0.6988 0.5497  3 Ca 2.79-2.87
Cl: 0.1435 0.4063 0.1781  3 Ca 2.67-2.95

Properties
Formation energy from raw total energies ... -2.22 eV/atom
SG ... P-1



# 7
The following is a DFT calculation (GGA-PBE) of a geometry-optimized Er2PbO structure.

Unit cell a=4.4901 b=4.4901 c=8.7636 alpha=90.02 beta=90.02 gamma=90.00
Closest atoms and distances in Å follow each position.
Fractional coordinates of all 8 atoms:
Er: 0.2500 0.7500 0.5000  4 O 2.33
Er: 0.2497 0.2497 0.1713  1 O 2.26
Pb: 0.2502 0.2502 0.8033  9 Er 3.18-3.48, 1 O 3.28
Pb: 0.7498 0.7498 0.1967  9 Er 3.18-3.48, 1 O 3.28
O: 0.2499 0.2499 0.4295  5 Er 2.26-2.33
Er: 0.7500 0.2500 0.5000  4 O 2.33
Er: 0.7503 0.7503 0.8287  1 O 2.26
O: 0.7501 0.7501 0.5705  5 Er 2.26-2.33

Properties
Formation energy from raw total energies ... -1.78 eV/atom
SG ... P4/nmm
Polymorph energy (0 for the lowest one) ... 0 meV/atom



# 8
The following is a DFT calculation (GGA-PBE) of a geometry-optimized PuPa3N6 structure.

Unit cell a=3.6541 b=6.7932 c=6.7932 alpha=109.86 beta=90.00 gamma=90.00
Closest atoms and distances in Å follow each position.
Fractional coordinates of all 10 atoms:
Pa: 0.5000 0.5000 0.0000  6 N 2.29-2.31
N: 0.0000 0.0774 0.3358  3 Pa 2.16-2.29
N: 0.5000 0.3609 0.6391  2 Pa 2.31, 2 Pu 2.39
Pu: 0.0000 0.5000 0.5000  4 N 2.39
N: 0.0000 0.9226 0.6642  3 Pa 2.16-2.29
N: 0.5000 0.6391 0.3609  2 Pa 2.31, 2 Pu 2.39
N: 0.0000 0.3358 0.0774  3 Pa 2.16-2.29
Pa: 0.5000 0.0000 0.5000  6 N 2.29-2.31
Pa: 0.0000 0.0000 0.0000  4 N 2.16
N: 0.0000 0.6642 0.9226  3 Pa 2.16-2.29

Properties
Formation energy from raw total energies ... -1.45 eV/atom
SG ... Cmmm
Polymorph energy (0 for the lowest one) ... 113 meV/atom



# 9
The following is a DFT calculation (GGA-PBE) of a geometry-optimized TlCo2RhCl8 structure.

Unit cell a=6.1256 b=6.1256 c=10.1407 alpha=72.42 beta=72.42 gamma=60.00
Closest atoms and distances in Å follow each position.
Fractional coordinates of all 12 atoms:
Cl: 0.2706 0.9399 0.1481  1 Co 2.24, 1 Rh 2.39
Cl: 0.8154 0.8154 0.5539  1 Co 2.19
Co: 0.7385 0.7385 0.7846  4 Cl 2.19-2.24
Co: 0.2615 0.2615 0.2154  4 Cl 2.19-2.24
Cl: 0.1846 0.1846 0.4461  1 Co 2.19
Rh: 0.0000 0.0000 0.0000  6 Cl 2.39
Cl: 0.0601 0.3586 0.8519  1 Co 2.24, 1 Rh 2.39
Cl: 0.7294 0.0601 0.8519  1 Co 2.24, 1 Rh 2.39
Cl: 0.9399 0.6414 0.1481  1 Co 2.24, 1 Rh 2.39
Tl: 0.5000 0.5000 0.5000  12 Cl 3.57-3.93
Cl: 0.6414 0.2706 0.1481  1 Co 2.24, 1 Rh 2.39
Cl: 0.3586 0.7294 0.8519  1 Co 2.24, 1 Rh 2.39

Properties
Formation energy from raw total energies ... -0.63 eV/atom
SG ... R-3



# 10
The following is a DFT calculation (GGA-PBE) of a geometry-optimized ZnP2PdBr structure.

Unit cell a=4.9549 b=4.9549 c=4.7516 alpha=90.00 beta=90.00 gamma=90.00
Closest atoms and distances in Å follow each position.
Fractional coordinates of all 5 atoms:
Pd: 0.0000 0.0000 0.5000  2 Br 2.38
Zn: 0.5000 0.5000 0.5000  8 P 3.43, 4 Pd 3.50
Br: 0.0000 0.0000 0.0000  2 Pd 2.38, 4 P 2.48
P: 0.5000 0.0000 0.0000  2 Br 2.48
P: 0.0000 0.5000 0.0000  2 Br 2.48

Properties
Formation energy from raw total energies ... 1.28 eV/atom
SG ... P4/mmm



# 11
The following is a DFT calculation (GGA-PBE) of a geometry-optimized Mn2ReSb structure.

Unit cell a=2.9416 b=2.9416 c=7.3757 alpha=90.00 beta=90.00 gamma=90.00
Closest atoms and distances in Å follow each position.
Fractional coordinates of all 4 atoms:
Sb: 0.5000 0.5000 0.7500  4 Sb 2.94, 8 Mn 2.96
Mn: 0.0000 0.0000 0.4644  4 Re 2.61
Re: 0.5000 0.5000 0.2500  8 Mn 2.61
Mn: 0.0000 0.0000 0.0356  4 Re 2.61

Properties
Formation energy from raw total energies ... 0.35 eV/atom
SG ... P4/mmm



# 12
The following is a DFT calculation (GGA-PBE) of a geometry-optimized PrSm6Er2 structure.

Unit cell a=6.1286 b=7.5627 c=7.5627 alpha=60.01 beta=90.01 gamma=90.01
Closest atoms and distances in Å follow each position.
Fractional coordinates of all 9 atoms:
Sm: 0.7094 0.6226 0.1881  1 Pr 3.05, 2 Sm 3.29
Er: 0.2183 0.3336 0.3336  12 Sm 3.56-3.82
Sm: 0.2879 0.8123 0.8123  1 Pr 3.03, 2 Sm 3.29
Er: 0.7817 0.6664 0.6664  12 Sm 3.56-3.82
Pr: 0.0000 0.0000 0.0000  6 Sm 3.03-3.05
Sm: 0.7121 0.1877 0.1877  1 Pr 3.03, 2 Sm 3.29
Sm: 0.7094 0.1881 0.6226  1 Pr 3.05, 2 Sm 3.29
Sm: 0.2906 0.8119 0.3774  1 Pr 3.05, 2 Sm 3.29
Sm: 0.2906 0.3774 0.8119  1 Pr 3.05, 2 Sm 3.29

Properties
SG ... C2/m
Polymorph energy (0 for the lowest one) ... 175 meV/atom



In states/eV/f.u., the D(E_F) values for the records above are, in order, 2.68, 4.52, 1.30, 4.53, 3.36, 0.00, 1.31, 10.23, 0.53, 5.02, 4.44, 13.81.